Record 1
PrGdSc2Sb2: optimized geometry, PBE.

Summary:
symmetry = No. 107
total energy = -5.91 eV per atom
magnetization = 0.1585 μB/atom

abc: 8.8242 8.8242 8.8242
angles: 150.93 150.93 41.57
Positions (direct):
Pr  0.0000  0.0000  0.0000
Gd  0.3513  0.3513  0.0000
Sc  0.1773  0.6773  0.5000
Sc  0.6773  0.1773  0.5000
Sb  0.5491  0.5491  0.0000
Sb  0.8039  0.8039  0.0000

Record 2
HoNiIr: optimized geometry, PBE.

Summary:
symmetry = No. 74
total energy = -7.02 eV per atom
magnetization = 0.0005 μB/atom

abc: 5.1910 5.1910 5.1910
angles: 121.93 117.57 90.48
Positions (direct):
Ho  0.3722  0.1222  0.2500
Ho  0.6278  0.8778  0.7500
Ni  0.0000  0.0000  0.5000
Ni  0.0000  0.5000  0.0000
Ir  0.0000  0.5000  0.5000
Ir  0.5000  0.5000  0.0000

Record 3
DyY2FeCo6Ni2: optimized geometry, PBE.

Summary:
symmetry = No. 166
total energy = -6.84 eV per atom
magnetization = 0.8063 μB/atom

abc: 8.5627 8.5627 8.5627
angles: 33.88 33.88 33.88
Positions (direct):
Dy  0.0000  0.0000  0.0000
Y  0.1392  0.1392  0.1392
Y  0.8608  0.8608  0.8608
Fe  0.5000  0.5000  0.5000
Co  0.0812  0.5826  0.5826
Co  0.4174  0.4174  0.9188
Co  0.4174  0.9188  0.4174
Co  0.5826  0.0812  0.5826
Co  0.5826  0.5826  0.0812
Co  0.9188  0.4174  0.4174
Ni  0.3334  0.3334  0.3334
Ni  0.6666  0.6666  0.6666

Record 4
Zn3TeAs2Pb3O14: optimized geometry, PBE.

Summary:
symmetry = No. 150
total energy = -5.52 eV per atom

abc: 8.4870 8.4870 5.2619
angles: 90.00 90.00 120.00
Positions (direct):
Zn  0.0000  0.2387  0.0000
Zn  0.2387  0.0000  0.0000
Zn  0.7613  0.7613  0.0000
Te  0.0000  0.0000  0.5000
As  0.3333  0.6667  0.0433
As  0.6667  0.3333  0.9567
Pb  0.0000  0.5924  0.5000
Pb  0.4076  0.4076  0.5000
Pb  0.5924  0.0000  0.5000
O  0.0883  0.8726  0.7117
O  0.1274  0.2157  0.7117
O  0.1895  0.4580  0.1789
O  0.2157  0.1274  0.2883
O  0.2685  0.8105  0.1789
O  0.3333  0.6667  0.7201
O  0.4580  0.1895  0.8211
O  0.5420  0.7315  0.1789
O  0.6667  0.3333  0.2799
O  0.7315  0.5420  0.8211
O  0.7843  0.9117  0.7117
O  0.8105  0.2685  0.8211
O  0.8726  0.0883  0.2883
O  0.9117  0.7843  0.2883